No. 1
Below is an optimized crystal structure of YAsBr2, with properties calculated at the GGA-PBEsol level.

Calculated values
**Space group**: P4mm (99)
**Energy above the lowest structure with this stoichiometry**: 0.00 kJ/mol of atoms
**Crystal system**: tetragonal
**Formation energy from raw total energies**: -97.5 kJ per mole of atoms

```
YAsBr2
1.0
3.967 0.000 0.000
0.000 3.967 0.000
0.000 0.000 7.130
Y As Br
1 1 2
direct
0.000 0.000 0.000
0.500 0.500 0.073
0.000 0.000 0.374
0.500 0.500 0.721
```


No. 2
Below is an optimized crystal structure of Rb3CuS, with properties calculated at the GGA-PBEsol level.

Calculated values
**Space group**: Pm-3m (221)
**Crystal system**: cubic
**Formation energy from raw total energies**: -20.4 kJ per mole of atoms

```
Rb3CuS
1.0
6.234 0.000 0.000
0.000 6.234 0.000
0.000 0.000 6.234
Rb Cu S
3 1 1
direct
0.000 0.000 0.500
0.000 0.500 0.000
0.500 0.000 0.000
0.500 0.500 0.500
0.000 0.000 0.000
```


No. 3
Below is an optimized crystal structure of IrPdS3, with properties calculated at the GGA-PBEsol level.

Calculated values
**Space group**: Pm-3m (221)
**Crystal system**: cubic
**Formation energy from raw total energies**: 119.3 kJ per mole of atoms

```
IrPdS3
1.0
4.500 0.000 0.000
0.000 4.500 0.000
0.000 0.000 4.500
Ir Pd S
1 1 3
direct
0.000 0.000 0.000
0.500 0.500 0.500
0.000 0.500 0.500
0.500 0.000 0.500
0.500 0.500 0.000
```


No. 4
Below is an optimized crystal structure of KCa2Mg, with properties calculated at the GGA-PBEsol level.

Calculated values
**Space group**: P4/mmm (123)
**Energy of formation from the pure elements**: 0.72 eV/f.u.
**Crystal system**: tetragonal

```
KCa2Mg
1.0
5.405 0.000 0.000
0.000 5.405 0.000
0.000 0.000 5.403
K Ca Mg
1 2 1
direct
0.000 0.000 0.000
0.000 0.500 0.500
0.500 0.000 0.500
0.500 0.500 0.000
```


No. 5
Below is an optimized crystal structure of TaP2Pt, with properties calculated at the GGA-PBEsol level.

Calculated values
**Space group**: C2/m (12)
**Energy of formation from the pure elements**: -0.54 eV/f.u.
**Energy above the lowest structure with this stoichiometry**: 26.56 kJ/mol of atoms
**Crystal system**: monoclinic

```
TaP2Pt
1.0
2.968 -4.046 0.000
2.968 4.046 0.000
-1.321 0.000 2.499
Ta P Pt
1 2 1
direct
0.000 0.000 0.000
0.000 0.500 0.500
0.500 0.000 0.500
0.500 0.500 0.000
```


No. 6
Below is an optimized crystal structure of KPtI2, with properties calculated at the GGA-PBEsol level.

Calculated values
**Space group**: I-42d (122)
**Crystal system**: tetragonal
**Formation energy from raw total energies**: -32.1 kJ per mole of atoms

```
KPtI2
1.0
-3.359 3.359 7.232
3.359 -3.359 7.232
3.359 3.359 -7.232
K Pt I
2 2 4
direct
0.000 0.000 0.000
0.750 0.250 0.500
0.250 0.750 0.500
0.500 0.500 0.000
0.229 0.625 0.104
0.375 0.479 0.604
0.521 0.125 0.896
0.875 0.771 0.396
```


No. 7
Below is an optimized crystal structure of Cd2TcMo, with properties calculated at the GGA-PBEsol level.

Calculated values
**Space group**: Imm2 (44)
**Energy of formation from the pure elements**: 1.59 eV/f.u.
**Energy above the lowest structure with this stoichiometry**: 0.00 kJ/mol of atoms
**Crystal system**: orthorhombic

```
Cd2TcMo
1.0
-1.588 2.397 4.540
1.588 -2.397 4.540
1.588 2.397 -4.540
Cd Tc Mo
2 1 1
direct
0.000 0.000 0.000
0.734 0.234 0.500
0.266 0.766 0.500
0.464 0.464 0.000
```


No. 8
Below is an optimized crystal structure of Tb9Sb5O5, with properties calculated at the GGA-PBEsol level.

Calculated values
**Space group**: P4/n (85)
**Crystal system**: tetragonal
**Formation energy from raw total energies**: -216.0 kJ per mole of atoms

```
Tb9Sb5O5
1.0
9.787 0.000 0.000
0.000 9.787 0.000
0.000 0.000 8.792
Tb Sb O
18 10 10
direct
0.025 0.168 0.002
0.045 0.646 0.657
0.146 0.955 0.343
0.168 0.475 0.002
0.250 0.250 0.671
0.332 0.025 0.002
0.354 0.545 0.343
0.455 0.854 0.657
0.475 0.332 0.002
0.525 0.668 0.998
0.545 0.146 0.343
0.646 0.455 0.657
0.668 0.975 0.998
0.750 0.750 0.329
0.832 0.525 0.998
0.854 0.045 0.657
0.955 0.354 0.343
0.975 0.832 0.998
0.054 0.654 0.301
0.154 0.946 0.699
0.250 0.250 0.316
0.346 0.554 0.699
0.446 0.846 0.301
0.554 0.154 0.699
0.654 0.446 0.301
0.750 0.750 0.684
0.846 0.054 0.301
0.946 0.346 0.699
0.025 0.629 0.912
0.129 0.975 0.088
0.250 0.250 0.936
0.371 0.525 0.088
0.475 0.871 0.912
0.525 0.129 0.088
0.629 0.475 0.912
0.750 0.750 0.064
0.871 0.025 0.912
0.975 0.371 0.088
```


No. 9
Below is an optimized crystal structure of NaSn4P3O12, with properties calculated at the GGA-PBEsol level.

Calculated values
**Space group**: R3c (161)
**Crystal system**: trigonal
**Formation energy from raw total energies**: -185.5 kJ per mole of atoms

```
NaSn4P3O12
1.0
4.757 2.747 8.071
-4.757 2.747 8.071
0.000 -5.493 8.071
Na Sn P O
2 8 6 24
direct
0.000 0.000 0.000
0.500 0.500 0.500
0.036 0.584 0.723
0.084 0.536 0.223
0.150 0.150 0.150
0.223 0.084 0.536
0.536 0.223 0.084
0.584 0.723 0.036
0.650 0.650 0.650
0.723 0.036 0.584
0.186 0.749 0.289
0.249 0.686 0.789
0.289 0.186 0.749
0.686 0.789 0.249
0.749 0.289 0.186
0.789 0.249 0.686
0.067 0.937 0.280
0.106 0.624 0.461
0.124 0.606 0.961
0.144 0.200 0.713
0.200 0.713 0.144
0.213 0.700 0.644
0.221 0.866 0.768
0.268 0.366 0.721
0.280 0.067 0.937
0.366 0.721 0.268
0.437 0.567 0.780
0.461 0.106 0.624
0.567 0.780 0.437
0.606 0.961 0.124
0.624 0.461 0.106
0.644 0.213 0.700
0.700 0.644 0.213
0.713 0.144 0.200
0.721 0.268 0.366
0.768 0.221 0.866
0.780 0.437 0.567
0.866 0.768 0.221
0.937 0.280 0.067
0.961 0.124 0.606
```


No. 10
Below is an optimized crystal structure of CoSi4O10, with properties calculated at the GGA-PBEsol level.

Calculated values
**Space group**: P4/ncc (130)
**Crystal system**: tetragonal
**Formation energy from raw total energies**: -217.7 kJ per mole of atoms

```
CoSi4O10
1.0
7.233 0.000 0.000
0.000 7.233 0.000
0.000 0.000 15.675
Co Si O
4 16 40
direct
0.250 0.250 0.089
0.250 0.250 0.589
0.750 0.750 0.411
0.750 0.750 0.911
0.003 0.073 0.350
0.003 0.427 0.850
0.073 0.003 0.850
0.073 0.497 0.350
0.427 0.003 0.350
0.427 0.497 0.850
0.497 0.073 0.850
0.497 0.427 0.350
0.503 0.573 0.650
0.503 0.927 0.150
0.573 0.503 0.150
0.573 0.997 0.650
0.927 0.503 0.650
0.927 0.997 0.150
0.997 0.573 0.150
0.997 0.927 0.650
0.005 0.708 0.628
0.005 0.792 0.128
0.026 0.157 0.093
0.026 0.343 0.593
0.041 0.541 0.250
0.041 0.959 0.750
0.157 0.026 0.593
0.157 0.474 0.093
0.208 0.505 0.872
0.208 0.995 0.372
0.292 0.505 0.372
0.292 0.995 0.872
0.343 0.026 0.093
0.343 0.474 0.593
0.459 0.541 0.750
0.459 0.959 0.250
0.474 0.157 0.593
0.474 0.343 0.093
0.495 0.708 0.128
0.495 0.792 0.628
0.505 0.208 0.372
0.505 0.292 0.872
0.526 0.657 0.907
0.526 0.843 0.407
0.541 0.041 0.750
0.541 0.459 0.250
0.657 0.526 0.407
0.657 0.974 0.907
0.708 0.005 0.128
0.708 0.495 0.628
0.792 0.005 0.628
0.792 0.495 0.128
0.843 0.526 0.907
0.843 0.974 0.407
0.959 0.041 0.250
0.959 0.459 0.750
0.974 0.657 0.407
0.974 0.843 0.907
0.995 0.208 0.872
0.995 0.292 0.372
```


No. 11
Below is an optimized crystal structure of BaCrRe2, with properties calculated at the GGA-PBEsol level.

Calculated values
**Space group**: R-3m (166)
**Energy of formation from the pure elements**: 4.20 eV/f.u.
**Energy above the lowest structure with this stoichiometry**: 0.00 kJ/mol of atoms
**Crystal system**: trigonal

```
BaCrRe2
1.0
1.477 0.852 9.590
-1.477 0.852 9.590
0.000 -1.705 9.590
Ba Cr Re
1 1 2
direct
0.000 0.000 0.000
0.500 0.500 0.500
0.229 0.229 0.229
0.771 0.771 0.771
```


No. 12
Below is an optimized crystal structure of CdHg2, with properties calculated at the GGA-PBEsol level.

Calculated values
**Space group**: P6/mmm (191)
**Energy of formation from the pure elements**: 0.11 eV/f.u.
**Energy above the lowest structure with this stoichiometry**: 4.38 kJ/mol of atoms
**Crystal system**: hexagonal

```
CdHg2
1.0
5.122 0.000 0.000
-2.561 4.436 0.000
0.000 0.000 2.991
Cd Hg
1 2
direct
0.000 0.000 0.000
0.333 0.667 0.500
0.667 0.333 0.500
```


Number 1: VASP energy -19.7 eV for the cell shown. Number 2: VASP energy -12.9 eV for the cell shown. Number 3: VASP energy -22.8 eV for the cell shown. Number 4: VASP energy -6.4 eV for the cell shown. Number 5: VASP energy -31.6 eV for the cell shown. Number 6: VASP energy -25.9 eV for the cell shown. Number 7: VASP energy -23.8 eV for the cell shown. Number 8: VASP energy -273.3 eV for the cell shown. Number 9: VASP energy -274.5 eV for the cell shown. Number 10: VASP energy -468.2 eV for the cell shown. Number 11: VASP energy -34.9 eV for the cell shown. Number 12: VASP energy -2.2 eV for the cell shown.